Here is an optimized crystal structure of BaAs2Pb from Alexandria. Energies are from GGA-PBE.

Total magnetic moment: 0.0 Bohr magnetons per cell
DOS at the Fermi energy: 0.4794 states/eV per atom
Formation energy from the elements: -412 meV/atom
Space-group type: Cm (8)
Total DFT energy (no corrections): -4.144 eV per atom

abc: 5.923 5.923 5.676
angles: 72.79 72.79 39.12
Sites, in units of the cell vectors:
Pb1 0.278 0.278 0.151
As1 0.020 0.020 0.991
As2 0.701 0.701 0.849
Ba1 0.501 0.501 0.509